# 1
A relaxed CrSi3Te crystal. Source: Alexandria, functional GGA-PBE.

Symmetry: No. 221
D(E_F), states/eV per cell: 2.0
Spin magnetization, μB/atom: 0.38
E_form (uncorrected), meV/atom: 487
Distance to the lowest polymorph of the same formula, meV per atom: 0.0

a b c (Å): 4.6384 4.6384 4.6384
angles (deg): 90.00 90.00 90.00
Closest atoms and distances in Å follow each position.
Fractional positions:
Cr1 0.0000 0.0000 0.0000  6 Si 2.32
Si1 0.0000 0.0000 0.5000  2 Cr 2.32
Si2 0.0000 0.5000 0.0000  2 Cr 2.32
Si3 0.5000 0.0000 0.0000  2 Cr 2.32
Te1 0.5000 0.5000 0.5000  12 Si 3.28



# 2
A relaxed Ca3ReN crystal. Source: Alexandria, functional GGA-PBE.

Symmetry: No. 221
D(E_F), states/eV per cell: 6.8
Spin magnetization, μB/atom: 0.50
E_form (uncorrected), meV/atom: 330
Distance to the lowest polymorph of the same formula, meV per atom: 0.0

a b c (Å): 4.8252 4.8252 4.8252
angles (deg): 90.00 90.00 90.00
Closest atoms and distances in Å follow each position.
Fractional positions:
Ca1 0.0000 0.0000 0.5000  2 N 2.41
Ca2 0.0000 0.5000 0.0000  2 N 2.41
Ca3 0.5000 0.0000 0.0000  2 N 2.41
Re1 0.5000 0.5000 0.5000  12 Ca 3.41
N1 0.0000 0.0000 0.0000  6 Ca 2.41



# 3
A relaxed Th4SnAu crystal. Source: Alexandria, functional GGA-PBE.

Symmetry: No. 140
D(E_F), states/eV per cell: 16.7
Spin magnetization, μB/atom: 0.00
Distance to the lowest polymorph of the same formula, meV per atom: 117.1

a b c (Å): 8.2333 8.2333 8.2333
angles (deg): 125.13 125.13 81.32
Closest atoms and distances in Å follow each position.
Fractional positions:
Th1 0.0190 0.5190 0.8108  2 Au 3.20, 3 Th 3.33-3.49, 2 Sn 3.34
Th2 0.2082 0.0190 0.5000  2 Au 3.20, 3 Th 3.33-3.49, 2 Sn 3.34
Th3 0.2918 0.7918 0.8108  2 Au 3.20, 3 Th 3.33-3.49, 2 Sn 3.34
Th4 0.4810 0.2918 0.5000  2 Au 3.20, 3 Th 3.33-3.49, 2 Sn 3.34
Th5 0.5190 0.7082 0.5000  2 Au 3.20, 3 Th 3.33-3.49, 2 Sn 3.34
Th6 0.7082 0.2082 0.1892  2 Au 3.20, 3 Th 3.33-3.49, 2 Sn 3.34
Th7 0.7918 0.9810 0.5000  2 Au 3.20, 3 Th 3.33-3.49, 2 Sn 3.34
Th8 0.9810 0.4810 0.1892  2 Au 3.20, 3 Th 3.33-3.49, 2 Sn 3.34
Sn1 0.0000 0.0000 0.0000  2 Au 3.12, 8 Th 3.34
Sn2 0.5000 0.5000 0.0000  2 Au 3.12, 8 Th 3.34
Au1 0.2500 0.2500 0.0000  2 Sn 3.12, 8 Th 3.20
Au2 0.7500 0.7500 0.0000  2 Sn 3.12, 8 Th 3.20



VASP energy: -5.3201; -5.0253; -6.4463 (eV/atom)